No. 1
A plane-wave DFT calculation with GGA-PBE was carried out for a relaxed CuAuBr2 crystal.

Cell lengths 7.2967, 4.0536, 7.4199 Å; angles 90.00, 94.99, 90.00 degrees
Space group Cm (No. 8)
Unique sites:
Cu (0.0000, 0.0000, 0.0000) (multiplicity 2)
Au (0.3527, 0.0000, 0.1714) (multiplicity 2)
Br (0.2396, 0.5000, 0.3632) (multiplicity 2)
Br (0.4951, 0.0000, 0.8302) (multiplicity 2)

Computed properties:
Total DFT energy (no corrections) in eV/cell: -22.03
Magnetic moment in Bohr magnetons per cell: 0.00
Crystal system: monoclinic
DOS at the Fermi energy in states/eV/f.u.: 0.73



No. 2
A plane-wave DFT calculation with GGA-PBE was carried out for a relaxed CuAuBr3 crystal.

Cell lengths 14.2597, 3.8553, 12.0744 Å; angles 90.00, 98.48, 90.00 degrees
Space group C2/m (No. 12)
Unique sites:
Cu (0.1083, 0.0000, 0.2923) (multiplicity 4)
Au (0.1946, 0.5000, 0.8037) (multiplicity 4)
Br (0.0820, 0.0000, 0.7341) (multiplicity 4)
Br (0.1336, 0.5000, 0.4069) (multiplicity 4)
Br (0.1389, 0.0000, 0.1018) (multiplicity 4)

Computed properties:
Total DFT energy (no corrections) in eV/cell: -52.38
Magnetic moment in Bohr magnetons per cell: 0.00
Crystal system: monoclinic
DOS at the Fermi energy in states/eV/f.u.: 5.31



No. 3
A plane-wave DFT calculation with GGA-PBE was carried out for a relaxed CuAuBr2 crystal.

Cell lengths 6.9948, 6.9948, 6.9948 Å; angles 90.00, 90.00, 90.00 degrees
Space group Fm-3m (No. 225)
Unique sites:
Cu (0.0000, 0.0000, 0.0000) (multiplicity 4)
Au (0.0000, 0.0000, 0.5000) (multiplicity 4)
Br (0.2500, 0.2500, 0.2500) (multiplicity 8)

Computed properties:
Total DFT energy (no corrections) in eV/cell: -36.92
Magnetic moment in Bohr magnetons per cell: 0.00
Crystal system: cubic
DOS at the Fermi energy in states/eV/f.u.: 1.08



No. 4
A plane-wave DFT calculation with GGA-PBE was carried out for a relaxed Cu3Au5Br12 crystal.

Cell lengths 16.8193, 16.8193, 16.8193 Å; angles 90.00, 90.00, 90.00 degrees
Space group Ia-3d (No. 230)
Unique sites:
Cu (0.0000, 0.2500, 0.1250) (multiplicity 24)
Au (0.0000, 0.0000, 0.0000) (multiplicity 16)
Au (0.0000, 0.2500, 0.3750) (multiplicity 24)
Br (0.0121, 0.0161, 0.3420) (multiplicity 96)

Computed properties:
Total DFT energy (no corrections) in eV/cell: -395.63
Magnetic moment in Bohr magnetons per cell: 0.00
Crystal system: cubic
DOS at the Fermi energy in states/eV/f.u.: 8.49



Question: What is the magnetic moment in the second record?
Answer: 0.00 Bohr magnetons per cell



Question: Number 2 is which compound?
Answer: CuAuBr3



Question: The lowest total DFT energy (no corrections) belongs to which entry?
Answer: Cu3Au5Br12